P) This record from Alexandria via LeMat-Bulk describes Co6ReW after structural relaxation. The functional is PBE-GGA.

Cell lengths 6.2139, 6.2139, 10.1292 Å; angles 90.00, 90.00, 109.39 degrees
Sites, in units of the cell vectors:
W (0.5000, 0.5000, 0.5011)
W (0.2516, 0.7484, 0.7500)
W (0.5000, 0.5000, 0.9989)
W (0.7484, 0.2516, 0.7500)
Co (0.8783, 0.6262, 0.3737)
Co (0.2483, 0.7517, 0.0023)
Co (0.5000, 0.5000, 0.2500)
Co (0.7517, 0.2483, 0.4977)
Co (0.8765, 0.6278, 0.8765)
Co (0.1217, 0.3738, 0.1263)
Co (0.0000, 0.0000, 0.7500)
Co (0.8783, 0.6262, 0.1263)
Co (0.3722, 0.1235, 0.6235)
Co (0.6262, 0.8783, 0.1263)
Co (0.2483, 0.7517, 0.4977)
Co (0.3738, 0.1217, 0.1263)
Co (0.6278, 0.8765, 0.8765)
Co (0.3722, 0.1235, 0.8765)
Co (0.6278, 0.8765, 0.6235)
Co (0.7517, 0.2483, 0.0023)
Co (0.3738, 0.1217, 0.3737)
Co (0.1217, 0.3738, 0.3737)
Co (0.6262, 0.8783, 0.3737)
Co (0.8765, 0.6278, 0.6235)
Co (0.0000, 0.0000, 0.2500)
Co (0.1235, 0.3722, 0.6235)
Co (0.5000, 0.5000, 0.7500)
Co (0.1235, 0.3722, 0.8765)
Re (0.0000, 0.0000, 0.5013)
Re (0.2523, 0.7477, 0.2500)
Re (0.0000, 0.0000, 0.9987)
Re (0.7477, 0.2523, 0.2500)

Results
* magnetic moment: 0.1 μB/f.u.
* calculated volume: 11.53 A^3/atom
* N(E_F): 1.0926 states/eV per atom



Q) This record from Alexandria via LeMat-Bulk describes Co6ReW after structural relaxation. The functional is PBE-GGA.

Cell lengths 3.5603, 5.1715, 5.1715 Å; angles 90.61, 90.00, 90.00 degrees
Each line ends with the local moment (μB).
Sites, in units of the cell vectors:
Co (0.5000, 0.8711, 0.6227)  0.89
Co (0.0000, 0.6374, 0.3626)  1.49
Co (0.5000, 0.8639, 0.1361)  1.59
Co (0.5000, 0.3773, 0.1289)  0.89
Co (0.0000, 0.1199, 0.3673)  0.90
Co (0.0000, 0.6327, 0.8801)  0.90
Re (0.0000, 0.1137, 0.8863)  0.07
W (0.5000, 0.3841, 0.6159)  -0.11

Results
* magnetic moment: 6.5 μB/f.u.
* calculated volume: 11.90 A^3/atom
* N(E_F): 1.2306 states/eV per atom



Question: of the structures shown, which is the most stable? Reply: P).